# CsKNiF2

A geometry-optimized CsKNiF2 structure (PBE+U, Alexandria via LeMat-Bulk).

Results
Calculated density = 3.54 Mg/m³
Calculated total energy = -13.1 eV for the cell shown
M_tot = 1.1 μB/f.u.

Unit cell a=5.0058 b=5.0058 c=5.0267 alpha=90.00 beta=90.00 gamma=90.00
Space group P4/mmm (No. 123)
One atom of each set of equivalent atoms:
Cs  0.0000  0.0000  0.0000 [1 per cell]
K  0.5000  0.5000  0.0000 [1 per cell]
Ni  0.5000  0.5000  0.5000 [1 per cell]
F  0.0000  0.5000  0.5000 [2 per cell]